1.
Entry from the Alexandria database: a relaxed structure of Li2FeBPO7 (PBE with a Hubbard U).

Lattice parameters (Å, degrees): 6.429 5.138 8.588 85.77 90.00 90.00
Last column: magnetic moment on the atom in μB.
Positions (direct):
O: 0.750 0.023 0.874  -0.15
O: 0.750 0.279 0.095  -0.32
O: 0.750 0.433 0.459  0.07
O: 0.250 0.147 0.412  0.06
O: 0.442 0.176 0.671  0.08
O: 0.750 0.853 0.588  0.06
O: 0.058 0.176 0.671  0.08
O: 0.558 0.824 0.329  0.08
O: 0.250 0.530 0.172  -0.09
O: 0.250 0.567 0.541  0.07
O: 0.750 0.470 0.828  -0.09
O: 0.250 0.721 0.905  -0.32
O: 0.942 0.824 0.329  0.08
O: 0.250 0.977 0.126  -0.15
P: 0.750 0.736 0.425  0.02
P: 0.250 0.264 0.575  0.02
Li: 0.978 0.780 0.788  0.00
Li: 0.522 0.780 0.788  0.00
Li: 0.022 0.220 0.212  0.00
Li: 0.478 0.220 0.212  0.00
Fe: 0.750 0.219 0.655  4.25
Fe: 0.250 0.781 0.345  4.25
B: 0.250 0.739 0.060  0.02
B: 0.750 0.261 0.940  0.02

Results
Fermi-level density of states   2.3 states/eV per cell
Final energy   -6.68 eV/atom
Total magnetic moment   3.98 μB per formula unit

2.
Entry from the Alexandria database: a relaxed structure of Li3FeBPO7 (PBE with a Hubbard U).

Lattice parameters (Å, degrees): 6.437 5.060 8.428 84.71 90.00 90.00
Last column: magnetic moment on the atom in μB.
Positions (direct):
O: 0.063 0.175 0.688  0.07
O: 0.750 0.486 0.828  0.12
O: 0.750 0.351 0.109  0.02
O: 0.750 0.433 0.460  0.09
O: 0.750 0.867 0.579  0.06
O: 0.250 0.649 0.891  0.02
O: 0.250 0.514 0.172  0.12
O: 0.563 0.825 0.312  0.07
O: 0.250 0.133 0.421  0.06
O: 0.250 0.567 0.540  0.09
O: 0.437 0.175 0.688  0.07
O: 0.750 0.028 0.908  0.09
O: 0.937 0.825 0.312  0.07
O: 0.250 0.972 0.092  0.09
Fe: 0.250 0.777 0.330  4.36
Fe: 0.750 0.223 0.670  4.36
Li: 0.015 0.238 0.222  0.00
Li: 0.515 0.762 0.778  0.00
Li: 0.250 0.247 0.901  0.00
Li: 0.485 0.238 0.222  0.00
Li: 0.750 0.753 0.099  0.00
Li: 0.985 0.762 0.778  0.00
B: 0.750 0.286 0.957  0.00
B: 0.250 0.714 0.043  0.00
P: 0.250 0.261 0.579  0.02
P: 0.750 0.739 0.421  0.02

Results
Fermi-level density of states   0.0 states/eV per cell
Final energy   -6.63 eV/atom
Total magnetic moment   5.00 μB per formula unit

> Look up the Fermi-level density of states of the first one.

2.3 states/eV per cell

> Which of these has the lowest final energy?

Li2FeBPO7

Please write out number 1 again, unchanged.
Entry from the Alexandria database: a relaxed structure of Li2FeBPO7 (PBE with a Hubbard U).

Lattice parameters (Å, degrees): 6.429 5.138 8.588 85.77 90.00 90.00
Last column: magnetic moment on the atom in μB.
Positions (direct):
O: 0.750 0.023 0.874  -0.15
O: 0.750 0.279 0.095  -0.32
O: 0.750 0.433 0.459  0.07
O: 0.250 0.147 0.412  0.06
O: 0.442 0.176 0.671  0.08
O: 0.750 0.853 0.588  0.06
O: 0.058 0.176 0.671  0.08
O: 0.558 0.824 0.329  0.08
O: 0.250 0.530 0.172  -0.09
O: 0.250 0.567 0.541  0.07
O: 0.750 0.470 0.828  -0.09
O: 0.250 0.721 0.905  -0.32
O: 0.942 0.824 0.329  0.08
O: 0.250 0.977 0.126  -0.15
P: 0.750 0.736 0.425  0.02
P: 0.250 0.264 0.575  0.02
Li: 0.978 0.780 0.788  0.00
Li: 0.522 0.780 0.788  0.00
Li: 0.022 0.220 0.212  0.00
Li: 0.478 0.220 0.212  0.00
Fe: 0.750 0.219 0.655  4.25
Fe: 0.250 0.781 0.345  4.25
B: 0.250 0.739 0.060  0.02
B: 0.750 0.261 0.940  0.02

Results
Fermi-level density of states   2.3 states/eV per cell
Final energy   -6.68 eV/atom
Total magnetic moment   3.98 μB per formula unit